No. 1
A plane-wave DFT calculation with PBE was carried out for a relaxed CoPtW2 crystal.

Output
Mass density in g/cm3: 17.75
Energy of formation from the pure elements in meV/atom: -29
Size of the total moment in μB per formula unit: 0.04
V in Å³/cell: 116.30

The structure in CIF format:
```
data_CoPtW2
_symmetry_space_group_name_H-M 'C 1 2/m 1'
_symmetry_Int_Tables_number 12
_cell_length_a 5.392
_cell_length_b 7.960
_cell_length_c 2.710
_cell_angle_alpha 90.00
_cell_angle_beta 90.28
_cell_angle_gamma 90.00
loop_
_symmetry_equiv_pos_as_xyz
'x,y,z'
'-x,-y,-z'
'-x,y,-z'
'x,-y,z'
'x+1/2,y+1/2,z'
'-x+1/2,-y+1/2,-z'
'-x+1/2,y+1/2,-z'
'x+1/2,-y+1/2,z'
loop_
_atom_site_label
_atom_site_type_symbol
_atom_site_fract_x
_atom_site_fract_y
_atom_site_fract_z
_atom_site_occupancy
Co1 Co 0.000 0.000 0.000 1
Pt1 Pt 0.000 0.500 0.000 1
W1 W 0.250 0.250 0.500 1
```


No. 2
A plane-wave DFT calculation with PBE was carried out for a relaxed CoPt2W crystal.

Output
Mass density in g/cm3: 18.00
Energy of formation from the pure elements in meV/atom: -6
Size of the total moment in μB per formula unit: 1.10
V in Å³/cell: 58.38

The structure in CIF format:
```
data_CoPt2W
_symmetry_space_group_name_H-M 'P 1 2/m 1'
_symmetry_Int_Tables_number 10
_cell_length_a 4.744
_cell_length_b 2.763
_cell_length_c 4.744
_cell_angle_alpha 90.00
_cell_angle_beta 110.15
_cell_angle_gamma 90.00
loop_
_symmetry_equiv_pos_as_xyz
'x,y,z'
'-x,-y,-z'
'-x,y,-z'
'x,-y,z'
loop_
_atom_site_label
_atom_site_type_symbol
_atom_site_fract_x
_atom_site_fract_y
_atom_site_fract_z
_atom_site_occupancy
Co1 Co 0.000 0.000 0.000 1
Pt1 Pt 0.500 0.000 0.500 1
Pt2 Pt 0.500 0.500 0.000 1
W1 W 0.000 0.500 0.500 1
```


No. 3
A plane-wave DFT calculation with PBE was carried out for a relaxed CoPt2W crystal.

Output
Mass density in g/cm3: 17.99
Energy of formation from the pure elements in meV/atom: -149
Size of the total moment in μB per formula unit: 2.27
V in Å³/cell: 58.44

The structure in CIF format:
```
data_CoPt2W
_symmetry_space_group_name_H-M 'P 4/m m m'
_symmetry_Int_Tables_number 123
_symmetry_space_group_name_Hall '-P 4 2'
_cell_length_a 2.747
_cell_length_b 2.747
_cell_length_c 7.747
_cell_angle_alpha 90.00
_cell_angle_beta 90.00
_cell_angle_gamma 90.00
loop_
_atom_site_label
_atom_site_type_symbol
_atom_site_fract_x
_atom_site_fract_y
_atom_site_fract_z
_atom_site_occupancy
Co1 Co 0.000 0.000 0.000 1
Pt1 Pt 0.500 0.500 0.241 1
W1 W 0.000 0.000 0.500 1
```


No. 4
A plane-wave DFT calculation with PBE was carried out for a relaxed CoPtW2 crystal.

Output
Mass density in g/cm3: 17.85
Energy of formation from the pure elements in meV/atom: -81
Size of the total moment in μB per formula unit: 0.02
V in Å³/cell: 231.35

The structure in CIF format:
```
data_CoPtW2
_symmetry_space_group_name_H-M 'F m m m'
_symmetry_Int_Tables_number 69
_symmetry_space_group_name_Hall '-F 2 2'
_cell_length_a 5.378
_cell_length_b 5.392
_cell_length_c 7.978
_cell_angle_alpha 90.00
_cell_angle_beta 90.00
_cell_angle_gamma 90.00
loop_
_atom_site_label
_atom_site_type_symbol
_atom_site_fract_x
_atom_site_fract_y
_atom_site_fract_z
_atom_site_occupancy
Co1 Co 0.000 0.000 0.000 1
Pt1 Pt 0.000 0.000 0.500 1
W1 W 0.250 0.250 0.250 1
```


No. 5
A plane-wave DFT calculation with PBE was carried out for a relaxed CoPtW2 crystal.

Output
Mass density in g/cm3: 17.54
Energy of formation from the pure elements in meV/atom: 6
Size of the total moment in μB per formula unit: 0.00
V in Å³/cell: 58.85

The structure in CIF format:
```
data_CoPtW2
_symmetry_space_group_name_H-M 'P 4 m m'
_symmetry_Int_Tables_number 99
_cell_length_a 3.195
_cell_length_b 3.195
_cell_length_c 5.764
_cell_angle_alpha 90.00
_cell_angle_beta 90.00
_cell_angle_gamma 90.00
loop_
_symmetry_equiv_pos_as_xyz
'x,y,z'
'-y,x,z'
'-x,-y,z'
'y,-x,z'
'-x,y,z'
'y,x,z'
'x,-y,z'
'-y,-x,z'
loop_
_atom_site_label
_atom_site_type_symbol
_atom_site_fract_x
_atom_site_fract_y
_atom_site_fract_z
_atom_site_occupancy
Co1 Co 0.000 0.000 0.000 1
Pt1 Pt 0.500 0.500 0.264 1
W1 W 0.000 0.000 0.525 1
W2 W 0.500 0.500 0.804 1
```


No. 6
A plane-wave DFT calculation with PBE was carried out for a relaxed CoPt2W crystal.

Output
Mass density in g/cm3: 17.67
Energy of formation from the pure elements in meV/atom: 117
Size of the total moment in μB per formula unit: 0.88
V in Å³/cell: 237.94

The structure in CIF format:
```
data_CoPt2W
_symmetry_space_group_name_H-M 'F m -3 m'
_symmetry_Int_Tables_number 225
_symmetry_space_group_name_Hall '-F 4 2 3'
_cell_length_a 6.197
_cell_length_b 6.197
_cell_length_c 6.197
_cell_angle_alpha 90.00
_cell_angle_beta 90.00
_cell_angle_gamma 90.00
loop_
_atom_site_label
_atom_site_type_symbol
_atom_site_fract_x
_atom_site_fract_y
_atom_site_fract_z
_atom_site_occupancy
Co1 Co 0.000 0.000 0.000 1
Pt1 Pt 0.250 0.250 0.250 1
W1 W 0.000 0.000 0.500 1
```


No. 7
A plane-wave DFT calculation with PBE was carried out for a relaxed CoPt3W crystal.

Output
Mass density in g/cm3: 12.24
Energy of formation from the pure elements in meV/atom: 1492
Size of the total moment in μB per formula unit: 2.35
V in Å³/cell: 112.36

The structure in CIF format:
```
data_CoPt3W
_symmetry_space_group_name_H-M 'P m -3 m'
_symmetry_Int_Tables_number 221
_symmetry_space_group_name_Hall '-P 4 2 3'
_cell_length_a 4.826
_cell_length_b 4.826
_cell_length_c 4.826
_cell_angle_alpha 90.00
_cell_angle_beta 90.00
_cell_angle_gamma 90.00
loop_
_atom_site_label
_atom_site_type_symbol
_atom_site_fract_x
_atom_site_fract_y
_atom_site_fract_z
_atom_site_occupancy
Co1 Co 0.000 0.000 0.000 1
Pt1 Pt 0.000 0.500 0.500 1
W1 W 0.500 0.500 0.500 1
```


No. 8
A plane-wave DFT calculation with PBE was carried out for a relaxed CoPtW2 crystal.

Output
Mass density in g/cm3: 17.80
Energy of formation from the pure elements in meV/atom: -73
Size of the total moment in μB per formula unit: 0.33
V in Å³/cell: 57.99

The structure in CIF format:
```
data_CoPtW2
_symmetry_space_group_name_H-M 'P 1 2/m 1'
_symmetry_Int_Tables_number 10
_cell_length_a 2.713
_cell_length_b 3.926
_cell_length_c 5.445
_cell_angle_alpha 90.00
_cell_angle_beta 90.31
_cell_angle_gamma 90.00
loop_
_symmetry_equiv_pos_as_xyz
'x,y,z'
'-x,-y,-z'
'-x,y,-z'
'x,-y,z'
loop_
_atom_site_label
_atom_site_type_symbol
_atom_site_fract_x
_atom_site_fract_y
_atom_site_fract_z
_atom_site_occupancy
Co1 Co 0.000 0.000 0.000 1
Pt1 Pt 0.000 0.000 0.500 1
W1 W 0.496 0.500 0.235 1
```


No. 9
A plane-wave DFT calculation with PBE was carried out for a relaxed CoPtW2 crystal.

Output
Mass density in g/cm3: 17.37
Energy of formation from the pure elements in meV/atom: 154
Size of the total moment in μB per formula unit: 0.00
V in Å³/cell: 59.43

The structure in CIF format:
```
data_CoPtW2
_symmetry_space_group_name_H-M 'P 4/m m m'
_symmetry_Int_Tables_number 123
_symmetry_space_group_name_Hall '-P 4 2'
_cell_length_a 3.302
_cell_length_b 3.302
_cell_length_c 5.452
_cell_angle_alpha 90.00
_cell_angle_beta 90.00
_cell_angle_gamma 90.00
loop_
_atom_site_label
_atom_site_type_symbol
_atom_site_fract_x
_atom_site_fract_y
_atom_site_fract_z
_atom_site_occupancy
Co1 Co 0.000 0.000 0.000 1
Pt1 Pt 0.000 0.000 0.500 1
W1 W 0.500 0.500 0.222 1
```


No. 10
A plane-wave DFT calculation with PBE was carried out for a relaxed CoPt6W crystal.

Output
Mass density in g/cm3: 19.38
Energy of formation from the pure elements in meV/atom: -195
Size of the total moment in μB per formula unit: 2.20
V in Å³/cell: 242.23

The structure in CIF format:
```
data_CoPt6W
_symmetry_space_group_name_H-M 'C 1 2/m 1'
_symmetry_Int_Tables_number 12
_cell_length_a 8.867
_cell_length_b 3.903
_cell_length_c 7.794
_cell_angle_alpha 90.00
_cell_angle_beta 116.11
_cell_angle_gamma 90.00
loop_
_symmetry_equiv_pos_as_xyz
'x,y,z'
'-x,-y,-z'
'-x,y,-z'
'x,-y,z'
'x+1/2,y+1/2,z'
'-x+1/2,-y+1/2,-z'
'-x+1/2,y+1/2,-z'
'x+1/2,-y+1/2,z'
loop_
_atom_site_label
_atom_site_type_symbol
_atom_site_fract_x
_atom_site_fract_y
_atom_site_fract_z
_atom_site_occupancy
Co1 Co 0.000 0.000 0.000 1
Pt1 Pt 0.001 0.500 0.749 1
Pt2 Pt 0.250 0.000 0.374 1
Pt3 Pt 0.250 0.000 0.876 1
W1 W 0.000 0.000 0.500 1
```